1.
SrZrZn3 after structural relaxation. Source: the Alexandria database, functional PBEsol.

It has space group Pm-3m (No. 221), with a = 5.035 Å, b = 5.035 Å, c = 5.035 Å, α = 90.00°, β = 90.00° and γ = 90.00°. The asymmetric unit holds Sr at (0.000, 0.000, 0.000), Zr at (0.500, 0.500, 0.500) and Zn at (0.000, 0.000, 0.500).

The calculation puts the density of states at the Fermi level at 3.474 states/eV/f.u. The calculation puts the total energy at -0.068 Ha/atom. For the formation energy, the calculation gives 1.29 eV/atom.

=====

2.
NbBrF2 after structural relaxation. Source: the Alexandria database, functional PBEsol.

It has space group R-3m (No. 166, hexagonal axes), with a = 2.8573 Å, b = 2.8573 Å, c = 30.2600 Å, α = 90.00°, β = 90.00° and γ = 120.00°. The asymmetric unit holds Nb at (0.0000, 0.0000, 0.0000), Br at (0.0000, 0.0000, 0.5000) and F at (0.0000, 0.0000, 0.3822).

For the uncorrected formation energy, the calculation gives -35.7 kcal/mol of atoms. The calculation puts the density of states at the Fermi level at 1.793 states/eV/f.u. The calculation puts the total energy at -0.209 Ha/atom. As for the energy relative to the lowest polymorph listed for this composition: 0.000 eV/atom.

=====

3.
CuNi after structural relaxation. Source: the Alexandria database, functional PBEsol.

It has space group P4/nmm (No. 129, origin choice 2), with a = 2.474 Å, b = 2.474 Å, c = 7.028 Å, α = 90.00°, β = 90.00° and γ = 90.00°. The asymmetric unit holds Cu at (0.250, 0.250, 0.129) and Ni at (0.250, 0.250, 0.619).

The calculation puts the density of states at the Fermi level at 2.314 states/eV/f.u. The calculation puts the total energy at -0.192 Ha/atom. For the formation energy, the calculation gives 0.02 eV/atom.

=====

4.
TcAg2Ir after structural relaxation. Source: the Alexandria database, functional PBEsol.

It has space group I4/mmm (No. 139), with a = 3.747 Å, b = 3.747 Å, c = 8.694 Å, α = 90.00°, β = 90.00° and γ = 90.00°. The asymmetric unit holds Tc at (0.000, 0.000, 0.000), Ag at (0.000, 0.500, 0.250) and Ir at (0.000, 0.000, 0.500).

The calculation puts the density of states at the Fermi level at 5.044 states/eV/f.u. The calculation puts the total energy at -0.233 Ha/atom. As for the energy relative to the lowest polymorph listed for this composition: 0.233 eV/atom. For the formation energy, the calculation gives 0.59 eV/atom.

=====

5.
CaTa2P after structural relaxation. Source: the Alexandria database, functional PBEsol.

It has space group Cm (No. 8), with a = 8.661 Å, b = 3.263 Å, c = 6.433 Å, α = 90.00°, β = 109.51° and γ = 90.00°. The asymmetric unit holds Ca at (0.000, 0.000, 0.000), Ta at (0.081, 0.500, 0.548), Ta at (0.315, 0.500, 0.348) and P at (0.317, 0.000, 0.649).

The calculation puts the density of states at the Fermi level at 3.533 states/eV/f.u. The calculation puts the total energy at -0.303 Ha/atom. As for the energy relative to the lowest polymorph listed for this composition: 0.000 eV/atom. For the formation energy, the calculation gives 0.02 eV/atom.

=====

6.
CoHgPt2 after structural relaxation. Source: the Alexandria database, functional PBEsol.

It has space group P4/mmm (No. 123), with a = 2.813 Å, b = 2.813 Å, c = 7.615 Å, α = 90.00°, β = 90.00° and γ = 90.00°. The asymmetric unit holds Co at (0.000, 0.000, 0.000), Hg at (0.000, 0.000, 0.500) and Pt at (0.500, 0.500, 0.216).

The calculation puts the density of states at the Fermi level at 3.434 states/eV/f.u. The calculation puts the total energy at -0.205 Ha/atom. For the formation energy, the calculation gives -0.01 eV/atom.

=====

7.
MnFe2W after structural relaxation. Source: the Alexandria database, functional PBEsol.

It has space group Cm (No. 8), with a = 8.318 Å, b = 2.580 Å, c = 4.391 Å, α = 90.00°, β = 100.60° and γ = 90.00°. The asymmetric unit holds Mn at (0.000, 0.000, 0.000), Fe at (0.020, 0.500, 0.562), Fe at (0.260, 0.000, 0.802) and W at (0.261, 0.500, 0.300).

The calculation puts the density of states at the Fermi level at 5.471 states/eV/f.u. The calculation puts the total energy at -0.375 Ha/atom. As for the energy relative to the lowest polymorph listed for this composition: 0.102 eV/atom. For the formation energy, the calculation gives 0.16 eV/atom.

=====

8.
NaReAg2Te after structural relaxation. Source: the Alexandria database, functional PBEsol.

It has space group P4/mmm (No. 123), with a = 5.185 Å, b = 5.185 Å, c = 5.482 Å, α = 90.00°, β = 90.00° and γ = 90.00°. The asymmetric unit holds Na at (0.000, 0.000, 0.000), Re at (0.500, 0.500, 0.000), Ag at (0.000, 0.500, 0.500) and Te at (0.000, 0.000, 0.500).

For the uncorrected formation energy, the calculation gives 36.3 kcal/mol of atoms. The calculation puts the density of states at the Fermi level at 3.102 states/eV/f.u. The calculation puts the total energy at -0.125 Ha/atom.